Here is NaTl2HgBr8 after structural relaxation from Alexandria via LeMat-Bulk. Energies are from PBE.

Unit cell a=9.5963 b=9.5963 c=9.7551 alpha=90.00 beta=90.00 gamma=90.00
Last column: nearest neighbours and their distance in Å.
Space group I-4m2 (No. 119)
Unique sites:
Na: 0.0000 0.0000 0.0000 x2  4 Br 2.95
Tl: 0.0000 0.0000 0.5000 x2  4 Br 2.85
Tl: 0.0000 0.5000 0.7500 x2  4 Br 2.62
Hg: 0.0000 0.5000 0.2500 x2  4 Br 2.76
Br: 0.0000 0.2169 0.2997 x8  1 Hg 2.76, 1 Tl 2.85
Br: 0.0000 0.3005 0.9339 x8  1 Tl 2.62

Results
ΔE_f (raw): -0.575 eV per atom
Total magnetic moment: 0.00 μB/f.u.
D(E_F): 0.301 states/eV/atom
Mass density: 4.7 Mg/m³
Calculated total energy: -2.220 eV/atom



Here is NaTlHg2Br6 after structural relaxation from Alexandria via LeMat-Bulk. Energies are from PBE.

Unit cell a=14.3957 b=13.9623 c=7.6268 alpha=90.00 beta=98.26 gamma=90.00
Last column: nearest neighbours and their distance in Å.
Space group C2/c (No. 15)
Unique sites:
Na: 0.0000 0.2103 0.2500 x4  6 Br 2.92-3.20
Tl: 0.0000 0.4063 0.7500 x4  6 Br 3.24-3.39
Hg: 0.1977 0.0933 0.7736 x8  4 Br 2.61-2.77
Br: 0.1173 0.3935 0.1571 x8  1 Hg 2.65
Br: 0.1179 0.2371 0.5921 x8  1 Hg 2.61
Br: 0.1393 0.0740 0.1030 x8  2 Hg 2.75-2.77

Results
ΔE_f (raw): -0.735 eV per atom
Total magnetic moment: 0.00 μB/f.u.
D(E_F): 0.000 states/eV/atom
Mass density: 4.9 Mg/m³
Calculated total energy: -2.168 eV/atom



Here is Na3TlHg4Br12 after structural relaxation from Alexandria via LeMat-Bulk. Energies are from PBE.

Unit cell a=15.5104 b=15.5104 c=11.3374 alpha=90.00 beta=90.00 gamma=120.00
Last column: nearest neighbours and their distance in Å.
Space group R32 (No. 155, hexagonal axes)
Unique sites:
Na: 0.0000 0.5525 0.0000 x9  6 Br 2.97-3.03
Tl: 0.0000 0.0000 0.0000 x3  6 Br 3.51
Hg: 0.0000 0.0000 0.5000 x3  3 Br 2.58
Hg: 0.0000 0.4402 0.5000 x9  3 Br 2.58-2.60
Br: 0.0000 0.6077 0.5000 x9  1 Hg 2.60
Br: 0.0000 0.8339 0.5000 x9  1 Hg 2.58
Br: 0.0518 0.2118 0.1662 x18  1 Hg 2.58

Results
ΔE_f (raw): -0.781 eV per atom
Total magnetic moment: 0.00 μB/f.u.
D(E_F): 0.000 states/eV/atom
Mass density: 4.3 Mg/m³
Calculated total energy: -2.161 eV/atom



Here is Na3Tl3HgBr8 after structural relaxation from Alexandria via LeMat-Bulk. Energies are from PBE.

Unit cell a=8.7532 b=8.7532 c=23.1888 alpha=90.00 beta=90.00 gamma=120.00
Last column: nearest neighbours and their distance in Å.
Space group R-3m (No. 166, hexagonal axes)
Unique sites:
Na: 0.0000 0.5000 0.0000 x9  6 Br 3.03-3.04
Tl: 0.0000 0.5000 0.5000 x9  6 Br 3.35
Hg: 0.0000 0.0000 0.0000 x3  6 Br 2.89
Br: 0.0000 0.0000 0.2614 x6  3 Na 3.03, 3 Tl 3.35
Br: 0.0157 0.5079 0.7357 x18  1 Hg 2.89, 2 Na 3.04

Results
ΔE_f (raw): -1.044 eV per atom
Total magnetic moment: 0.00 μB/f.u.
D(E_F): 0.000 states/eV/atom
Mass density: 4.9 Mg/m³
Calculated total energy: -2.693 eV/atom



Here is Na2VHgBr6 after structural relaxation from Alexandria via LeMat-Bulk. Energies are from PBE.

Unit cell a=7.3071 b=7.3071 c=19.0830 alpha=90.00 beta=90.00 gamma=120.00
Last column: nearest neighbours and their distance in Å.
Space group R3 (No. 146, hexagonal axes)
Unique sites:
Na: 0.0000 0.0000 0.0000 x3  6 Br 2.95-2.97
Na: 0.0000 0.0000 0.4785 x3  6 Br 2.95-3.07
V: 0.0000 0.0000 0.6819 x3  6 Br 2.58-2.62
Hg: 0.0000 0.0000 0.2020 x3  3 Br 2.89
Br: 0.0240 0.3885 0.4227 x9  1 V 2.58
Br: 0.0511 0.6672 0.2643 x9  1 V 2.62, 1 Hg 2.89

Results
ΔE_f (raw): -0.957 eV per atom
Total magnetic moment: 2.44 μB/f.u.
D(E_F): 0.863 states/eV/atom
Mass density: 4.4 Mg/m³
Calculated total energy: -3.167 eV/atom



Here is NaYHgBr6 after structural relaxation from Alexandria via LeMat-Bulk. Energies are from PBE.

Unit cell a=7.1971 b=7.1971 c=13.5117 alpha=90.00 beta=90.00 gamma=120.00
Last column: nearest neighbours and their distance in Å.
Space group P-31c (No. 163)
Unique sites:
Na: 0.0000 0.0000 0.0000 x2  6 Br 3.09
Y: 0.3333 0.6667 0.2500 x2  6 Br 2.82
Hg: 0.3333 0.6667 0.7500 x2  6 Br 2.87
Br: 0.0050 0.3562 0.1293 x12  1 Y 2.82, 1 Hg 2.87, 1 Na 3.09

Results
ΔE_f (raw): -1.298 eV per atom
Total magnetic moment: 0.00 μB/f.u.
D(E_F): 0.000 states/eV/atom
Mass density: 4.3 Mg/m³
Calculated total energy: -3.312 eV/atom